# 1
! DyHo2Tl3AgPd2 PBE relaxed; values from VASP
&SYSTEM
  ibrav = 0, nat = 9, ntyp = 5
/
ATOMIC_SPECIES
Ho 164.93 Ho.upf
Dy 162.50 Dy.upf
Pd 106.42 Pd.upf
Tl 204.38 Tl.upf
Ag 107.87 Ag.upf
CELL_PARAMETERS angstrom
3.753 0.000 0.000
0.000 6.863 3.961
0.000 -6.863 3.961
ATOMIC_POSITIONS crystal
Ho 0.000 0.000 0.594
Ho 0.000 0.594 0.000
Dy 0.000 0.406 0.406
Pd 0.500 0.667 0.333
Tl 0.500 0.726 0.726
Tl 0.500 0.274 0.000
Tl 0.500 0.000 0.274
Pd 0.500 0.333 0.667
Ag 0.000 0.000 0.000
! Energy = -38.94 eV per cell
! Volume = 22.67 Å³/atom
! Symmetry = Amm2 (38)

=====

# 2
! DyHo2Tl3AgPt2 PBE relaxed; values from VASP
&SYSTEM
  ibrav = 0, nat = 9, ntyp = 5
/
ATOMIC_SPECIES
Pt 195.08 Pt.upf
Tl 204.38 Tl.upf
Dy 162.50 Dy.upf
Ho 164.93 Ho.upf
Ag 107.87 Ag.upf
CELL_PARAMETERS angstrom
3.753 0.000 0.000
0.000 6.866 3.960
0.000 -6.866 3.960
ATOMIC_POSITIONS crystal
Pt 0.500 0.667 0.333
Tl 0.500 0.729 0.000
Tl 0.500 0.000 0.729
Tl 0.500 0.271 0.271
Dy 0.000 0.590 0.590
Ho 0.000 0.000 0.410
Pt 0.500 0.333 0.667
Ag 0.000 0.000 0.000
Ho 0.000 0.410 0.000
! Energy = -41.71 eV per cell
! Volume = 22.68 Å³/atom
! Symmetry = Amm2 (38)

=====

# 3
! DyHoAg2Se4 PBE relaxed; values from VASP
&SYSTEM
  ibrav = 0, nat = 8, ntyp = 4
/
ATOMIC_SPECIES
Se 78.96 Se.upf
Dy 162.50 Dy.upf
Ag 107.87 Ag.upf
Ho 164.93 Ho.upf
CELL_PARAMETERS angstrom
4.771 -4.773 0.000
4.771 4.773 0.000
0.000 0.000 4.308
ATOMIC_POSITIONS crystal
Se 0.702 0.298 0.717
Se 0.202 0.202 0.283
Dy 0.000 0.000 0.796
Ag 0.000 0.500 0.000
Ho 0.500 0.500 0.204
Se 0.298 0.702 0.717
Ag 0.500 0.000 0.000
Se 0.798 0.798 0.283
! Energy = -38.56 eV per cell
! Volume = 24.53 Å³/atom
! Symmetry = Cmm2 (35)

=====

# 4
! DyHoAg2Te4 PBE relaxed; values from VASP
&SYSTEM
  ibrav = 0, nat = 8, ntyp = 4
/
ATOMIC_SPECIES
Ag 107.87 Ag.upf
Te 127.60 Te.upf
Dy 162.50 Dy.upf
Ho 164.93 Ho.upf
CELL_PARAMETERS angstrom
5.009 -5.012 0.000
5.009 5.012 0.000
0.000 0.000 4.711
ATOMIC_POSITIONS crystal
Ag 0.000 0.500 0.999
Te 0.299 0.701 0.708
Ag 0.500 0.000 0.999
Te 0.701 0.299 0.708
Dy 0.000 0.000 0.809
Te 0.797 0.797 0.293
Te 0.203 0.203 0.293
Ho 0.500 0.500 0.191
! Energy = -34.71 eV per cell
! Volume = 29.57 Å³/atom
! Symmetry = Cmm2 (35)

=====

# 5
! DyAg2I4 PBE relaxed; values from VASP
&SYSTEM
  ibrav = 0, nat = 7, ntyp = 3
/
ATOMIC_SPECIES
I 126.90 I.upf
Dy 162.50 Dy.upf
Ag 107.87 Ag.upf
CELL_PARAMETERS angstrom
-5.983 -5.257 -1.192
-7.016 3.626 1.576
6.197 2.173 -4.661
ATOMIC_POSITIONS crystal
I 0.399 0.897 0.032
Dy 0.000 0.000 0.000
Ag 0.500 0.500 0.000
I 0.633 0.601 0.498
I 0.103 0.135 0.502
I 0.865 0.367 0.968
Ag 0.250 0.750 0.500
! Energy = -19.91 eV per cell
! Volume = 41.01 Å³/atom
! Symmetry = I-4 (82)

=====

# 6
! DyAgSI PBE relaxed; values from VASP
&SYSTEM
  ibrav = 0, nat = 16, ntyp = 4
/
ATOMIC_SPECIES
Ag 107.87 Ag.upf
Dy 162.50 Dy.upf
S 32.06 S.upf
I 126.90 I.upf
CELL_PARAMETERS angstrom
7.267 0.000 0.000
0.000 7.296 0.000
0.000 0.000 7.958
ATOMIC_POSITIONS crystal
Ag 0.523 0.669 0.760
Dy 0.866 0.302 0.875
Dy 0.634 0.698 0.375
S 0.336 0.930 0.365
I 0.301 0.427 0.473
I 0.199 0.573 0.973
S 0.164 0.070 0.865
Ag 0.977 0.331 0.260
Dy 0.366 0.198 0.125
Ag 0.023 0.831 0.240
I 0.801 0.073 0.527
S 0.664 0.430 0.135
Ag 0.477 0.169 0.740
I 0.699 0.927 0.027
S 0.836 0.570 0.635
Dy 0.134 0.802 0.625
! Energy = -67.21 eV per cell
! Volume = 26.37 Å³/atom
! Symmetry = P2_12_12_1 (19)

=====

# 7
! Dy3In2Ag PBE relaxed; values from VASP
&SYSTEM
  ibrav = 0, nat = 6, ntyp = 3
/
ATOMIC_SPECIES
Dy 162.50 Dy.upf
In 114.82 In.upf
Ag 107.87 Ag.upf
CELL_PARAMETERS angstrom
-3.534 0.589 0.244
-0.455 -1.371 -3.287
-1.487 -10.873 4.742
ATOMIC_POSITIONS crystal
Dy 0.500 0.500 0.000
In 0.000 0.000 0.826
In 0.000 0.000 0.174
Dy 0.500 0.500 0.654
Dy 0.500 0.500 0.346
Ag 0.000 0.000 0.500
! Energy = -24.64 eV per cell
! Volume = 25.69 Å³/atom
! Symmetry = P4/mmm (123)

=====

# 8
! Dy3In3Ag2Ir PBE relaxed; values from VASP
&SYSTEM
  ibrav = 0, nat = 9, ntyp = 4
/
ATOMIC_SPECIES
Ag 107.87 Ag.upf
Dy 162.50 Dy.upf
In 114.82 In.upf
Ir 192.22 Ir.upf
CELL_PARAMETERS angstrom
7.685 0.000 0.000
-3.843 6.656 0.000
0.000 0.000 4.019
ATOMIC_POSITIONS crystal
Ag 0.667 0.333 0.500
Dy 0.000 0.391 0.000
In 0.000 0.744 0.500
Ir 0.000 0.000 0.000
Dy 0.609 0.609 0.000
Dy 0.391 0.000 0.000
In 0.744 0.000 0.500
Ag 0.333 0.667 0.500
In 0.256 0.256 0.500
! Energy = -40.99 eV per cell
! Volume = 22.84 Å³/atom
! Symmetry = P-62m (189)

=====

# 9
! DyTm2In3AgIr2 PBE relaxed; values from VASP
&SYSTEM
  ibrav = 0, nat = 9, ntyp = 5
/
ATOMIC_SPECIES
Ir 192.22 Ir.upf
In 114.82 In.upf
Tm 168.93 Tm.upf
Dy 162.50 Dy.upf
Ag 107.87 Ag.upf
CELL_PARAMETERS angstrom
-0.522 -2.800 -2.493
3.789 -4.851 4.655
-7.643 0.847 0.649
ATOMIC_POSITIONS crystal
Ir 0.500 0.333 0.669
In 0.500 0.731 0.731
Ir 0.500 0.669 0.333
In 0.500 0.999 0.269
Tm 0.000 0.588 0.000
Dy 0.000 0.412 0.412
Tm 0.000 0.000 0.588
Ag 0.000 0.999 0.999
In 0.500 0.269 0.999
! Energy = -47.80 eV per cell
! Volume = 21.63 Å³/atom
! Symmetry = Amm2 (38)

=====

# 10
! Dy2TmIn3AgIr2 PBE relaxed; values from VASP
&SYSTEM
  ibrav = 0, nat = 9, ntyp = 5
/
ATOMIC_SPECIES
In 114.82 In.upf
Ir 192.22 Ir.upf
Ag 107.87 Ag.upf
Dy 162.50 Dy.upf
Tm 168.93 Tm.upf
CELL_PARAMETERS angstrom
-1.771 -3.118 1.297
3.697 0.696 6.718
-6.809 3.457 -0.987
ATOMIC_POSITIONS crystal
In 0.500 0.001 0.269
Ir 0.500 0.664 0.334
Ag 0.000 0.001 0.001
Dy 0.000 0.588 0.000
Dy 0.000 0.000 0.588
In 0.500 0.731 0.731
Tm 0.000 0.413 0.413
Ir 0.500 0.334 0.664
In 0.500 0.269 0.001
! Energy = -47.93 eV per cell
! Volume = 21.81 Å³/atom
! Symmetry = Amm2 (38)

=====

# 11
! DyY2In3AgIr2 PBE relaxed; values from VASP
&SYSTEM
  ibrav = 0, nat = 9, ntyp = 5
/
ATOMIC_SPECIES
Dy 162.50 Dy.upf
In 114.82 In.upf
Ir 192.22 Ir.upf
Ag 107.87 Ag.upf
Y 88.91 Y.upf
CELL_PARAMETERS angstrom
3.853 0.000 0.000
0.000 6.676 3.858
0.000 -6.676 3.858
ATOMIC_POSITIONS crystal
Dy 0.000 0.587 0.587
In 0.500 0.000 0.732
In 0.500 0.732 0.000
Ir 0.500 0.334 0.667
Ag 0.000 0.000 0.000
Y 0.000 0.413 0.000
In 0.500 0.268 0.268
Ir 0.500 0.667 0.334
Y 0.000 0.000 0.413
! Energy = -51.79 eV per cell
! Volume = 22.05 Å³/atom
! Symmetry = Amm2 (38)

=====

# 12
! LaDy2In3AgPd2 PBE relaxed; values from VASP
&SYSTEM
  ibrav = 0, nat = 9, ntyp = 5
/
ATOMIC_SPECIES
Dy 162.50 Dy.upf
La 138.91 La.upf
In 114.82 In.upf
Pd 106.42 Pd.upf
Ag 107.87 Ag.upf
CELL_PARAMETERS angstrom
-3.353 -0.311 -1.904
-2.482 -5.335 5.243
-1.389 7.666 1.193
ATOMIC_POSITIONS crystal
Dy 0.000 0.000 0.409
Dy 0.000 0.409 0.000
La 0.000 0.589 0.589
In 0.500 0.734 0.006
In 0.500 0.261 0.261
Pd 0.500 0.669 0.330
In 0.500 0.006 0.734
Ag 0.000 0.002 0.002
Pd 0.500 0.330 0.669
! Energy = -41.68 eV per cell
! Volume = 23.09 Å³/atom
! Symmetry = Amm2 (38)